CuTc5 after structural relaxation. Source: the Alexandria database, functional PBE.

a = 9.856 Å, b = 2.809 Å, c = 6.387 Å
α = 90.00°, β = 105.27°, γ = 90.00°
Space group Cm (No. 8)
Unique sites:
Cu 0.000 0.000 0.000
Tc 0.054 0.000 0.601
Tc 0.168 0.500 0.336
Tc 0.216 0.500 0.934
Tc 0.337 0.000 0.669
Tc 0.384 0.000 0.263

Magnetization = 0.00 μB/cell
DOS at the Fermi energy = 11.8 states/eV per cell
Excess energy over the best structure of this formula in the dataset = 0.0298 eV/atom
DFT formation energy = 0.1025 eV per atom